PmDy4Rh2: relaxed, PBE-GGA.

Values from the calculation:
As for the volume: 367.7 Å³ per cell. Its crystal system is monoclinic. The value obtained for the calculated total energy is -5.875 eV/atom. The calculation puts the total magnetization at 0.00 μB per cell. The space-group type is P2_1/m (11). The energy relative to the elements is -0.47 eV per atom.

a b c (Å): 7.828 6.456 7.896
angles (deg): 90.00 112.87 90.00
Element x y z (fractional)
1 Pm 0.025 0.250 0.158
2 Pm 0.975 0.750 0.842
3 Dy 0.240 0.503 0.590
4 Dy 0.240 0.997 0.590
5 Dy 0.337 0.750 0.252
6 Dy 0.384 0.250 0.016
7 Dy 0.616 0.750 0.984
8 Dy 0.663 0.250 0.748
9 Dy 0.760 0.003 0.410
10 Dy 0.760 0.497 0.410
11 Rh 0.009 0.250 0.737
12 Rh 0.411 0.250 0.372
13 Rh 0.589 0.750 0.628
14 Rh 0.991 0.750 0.263

***

Sr2NiTeH: relaxed, PBE-GGA.

Values from the calculation:
As for the volume: 155.6 Å³ per cell. Its crystal system is tetragonal. The value obtained for the calculated total energy is -3.337 eV/atom. The calculation puts the total magnetization at 0.00 μB per cell. The space-group type is P4/mmm (123).

a b c (Å): 5.756 5.756 4.697
angles (deg): 90.00 90.00 90.00
Element x y z (fractional)
1 Sr 0.000 0.500 0.000
2 Sr 0.500 0.000 0.000
3 Ni 0.000 0.000 0.000
4 Te 0.000 0.000 0.500
5 H 0.500 0.500 0.500

***

CoRh2AuC: relaxed, PBE-GGA.

Values from the calculation:
As for the volume: 65.4 Å³ per cell. Its crystal system is tetragonal. The value obtained for the calculated total energy is -6.641 eV/atom. The calculation puts the total magnetization at 1.85 μB per cell. The space-group type is P4/mmm (123). The energy relative to the elements is 0.22 eV per atom.

a b c (Å): 4.092 4.092 3.904
angles (deg): 90.00 90.00 90.00
Element x y z (fractional)
1 Co 0.000 0.000 0.000
2 Rh 0.000 0.500 0.500
3 Rh 0.500 0.000 0.500
4 Au 0.500 0.500 0.000
5 C 0.000 0.000 0.500

***

Which of these has the highest calculated total energy?
Sr2NiTeH